Entry 1:
ZrAlCd | PBEsol | optimized geometry

abc: 3.190 4.552 4.552
angles: 120.00 90.00 90.00
Positions (direct):
Cd (0.000, 0.333, 0.667)
Zr (0.500, 0.667, 0.333)
Al (0.000, 0.000, 0.000)

Output
ρ (g/cm³): 6.69
Total energy (eV per atom): -5.09
ΔE_f (meV/atom): -297
DOS at the Fermi energy (states/eV/atom): 0.432
Space-group type: No. 187

---

Entry 2:
ZrAlCd3 | PBEsol | optimized geometry

abc: 5.482 5.482 5.482
angles: 90.00 90.00 90.00
Last column: magnetic moment on the atom in μB.
Positions (direct):
Cd (0.000, 0.500, 0.000)  0.07
Cd (0.000, 0.000, 0.500)  0.07
Cd (0.500, 0.000, 0.000)  0.07
Zr (0.000, 0.000, 0.000)  0.84
Al (0.500, 0.500, 0.500)  0.03

Output
ρ (g/cm³): 4.59
Total energy (eV per atom): -2.20
ΔE_f (meV/atom): 1157
DOS at the Fermi energy (states/eV/atom): 1.364
Space-group type: No. 221

---

Entry 3:
Zr2AlCd | PBEsol | optimized geometry

abc: 3.045 5.215 5.215
angles: 108.44 90.00 90.00
Positions (direct):
Zr (0.000, 0.000, 0.500)
Zr (0.000, 0.500, 0.000)
Cd (0.500, 0.500, 0.500)
Al (0.500, 0.000, 0.000)

Output
ρ (g/cm³): 6.80
Total energy (eV per atom): -6.17
ΔE_f (meV/atom): -299
DOS at the Fermi energy (states/eV/atom): 0.849
Space-group type: No. 65

---

Repeat the third record exactly.
Zr2AlCd | PBEsol | optimized geometry

abc: 3.045 5.215 5.215
angles: 108.44 90.00 90.00
Positions (direct):
Zr (0.000, 0.000, 0.500)
Zr (0.000, 0.500, 0.000)
Cd (0.500, 0.500, 0.500)
Al (0.500, 0.000, 0.000)

Output
ρ (g/cm³): 6.80
Total energy (eV per atom): -6.17
ΔE_f (meV/atom): -299
DOS at the Fermi energy (states/eV/atom): 0.849
Space-group type: No. 65

---

- Which formula does entry 1 have?
  ZrAlCd

---

What did the third record say?
Zr2AlCd | PBEsol | optimized geometry

abc: 3.045 5.215 5.215
angles: 108.44 90.00 90.00
Positions (direct):
Zr (0.000, 0.000, 0.500)
Zr (0.000, 0.500, 0.000)
Cd (0.500, 0.500, 0.500)
Al (0.500, 0.000, 0.000)

Output
ρ (g/cm³): 6.80
Total energy (eV per atom): -6.17
ΔE_f (meV/atom): -299
DOS at the Fermi energy (states/eV/atom): 0.849
Space-group type: No. 65

---

- What is the total energy in the second record?
  -2.20 eV per atom